No. 1
# YEr3Ru8 (GGA-PBE, optimized geometry)
data_YEr3Ru8
_space_group_name_H-M_alt 'R 3 m'
_space_group_IT_number 160
_space_group_name_Hall 'R 3 -2"'
_cell_length_a 5.3104
_cell_length_b 5.3104
_cell_length_c 26.1667
_cell_angle_alpha 90.00
_cell_angle_beta 90.00
_cell_angle_gamma 120.00
loop_
_atom_site_label
_atom_site_fract_x
_atom_site_fract_y
_atom_site_fract_z
Y1 0.0000 0.0000 0.0000
Er1 0.0000 0.0000 0.1250
Er2 0.0000 0.0000 0.5001
Er3 0.0000 0.0000 0.6248
Ru1 0.0000 0.0000 0.3125
Ru2 0.0000 0.0000 0.8126
Ru3 0.0006 0.5003 0.0629
Ru4 0.1672 0.3345 0.8955
# Total magnetization = 0.000 μB/f.u.
# E_form = -0.32 eV/atom

***

No. 2
# Cs2CdH6Pb (GGA-PBE, optimized geometry)
data_Cs2CdH6Pb
_space_group_name_H-M_alt 'F m m m'
_space_group_IT_number 69
_space_group_name_Hall '-F 2 2'
_cell_length_a 8.913
_cell_length_b 8.920
_cell_length_c 9.024
_cell_angle_alpha 90.00
_cell_angle_beta 90.00
_cell_angle_gamma 90.00
loop_
_atom_site_label
_atom_site_fract_x
_atom_site_fract_y
_atom_site_fract_z
Cs1 0.250 0.250 0.250
Cd1 0.000 0.000 0.000
H1 0.000 0.000 0.234
H2 0.000 0.233 0.000
H3 0.233 0.000 0.000
Pb1 0.000 0.000 0.500
# Total magnetization = 0.000 μB/f.u.
# Electronic total energy = -2.605 eV/atom

***

No. 3
# MnV2ZnAg (GGA-PBE, optimized geometry)
data_MnV2ZnAg
_space_group_name_H-M_alt 'P 4/m m m'
_space_group_IT_number 123
_space_group_name_Hall '-P 4 2'
_cell_length_a 4.458
_cell_length_b 4.458
_cell_length_c 4.324
_cell_angle_alpha 90.00
_cell_angle_beta 90.00
_cell_angle_gamma 90.00
loop_
_atom_site_label
_atom_site_fract_x
_atom_site_fract_y
_atom_site_fract_z
Mn1 0.000 0.000 0.000
V1 0.000 0.500 0.500
Zn1 0.000 0.000 0.500
Ag1 0.500 0.500 0.000
# Total magnetization = 0.000 μB/f.u.
# E_form = 1.46 eV/atom

***

No. 4
# Sm2Er5Bi4 (GGA-PBE, optimized geometry)
data_Sm2Er5Bi4
_space_group_name_H-M_alt 'C 1 2/m 1'
_space_group_IT_number 12
_space_group_name_Hall '-C 2y'
_cell_length_a 26.324
_cell_length_b 4.167
_cell_length_c 6.914
_cell_angle_alpha 90.00
_cell_angle_beta 95.74
_cell_angle_gamma 90.00
loop_
_atom_site_label
_atom_site_fract_x
_atom_site_fract_y
_atom_site_fract_z
Sm1 0.234 0.000 0.223
Er1 0.000 0.500 0.500
Er2 0.083 0.000 0.243
Er3 0.153 0.000 0.773
Bi1 0.040 0.000 0.806
Bi2 0.163 0.500 0.441
# Total magnetization = 0.000 μB/f.u.
# E_form = -0.28 eV/atom

***

No. 5
# Sc4AsRu (GGA-PBE, optimized geometry)
data_Sc4AsRu
_space_group_name_H-M_alt 'F -4 3 m'
_space_group_IT_number 216
_space_group_name_Hall 'F -4 2 3'
_cell_length_a 7.822
_cell_length_b 7.822
_cell_length_c 7.822
_cell_angle_alpha 90.00
_cell_angle_beta 90.00
_cell_angle_gamma 90.00
loop_
_atom_site_label
_atom_site_fract_x
_atom_site_fract_y
_atom_site_fract_z
Sc1 0.124 0.124 0.376
As1 0.000 0.000 0.000
Ru1 0.250 0.250 0.750
# Total magnetization = 0.522 μB/f.u.
# E_form = 0.33 eV/atom

***

No. 6
# HoEr3Sc7 (GGA-PBE, optimized geometry)
data_HoEr3Sc7
_space_group_name_H-M_alt 'C 1 2/m 1'
_space_group_IT_number 12
_space_group_name_Hall '-C 2y'
_cell_length_a 11.986
_cell_length_b 10.415
_cell_length_c 5.421
_cell_angle_alpha 90.00
_cell_angle_beta 116.81
_cell_angle_gamma 90.00
loop_
_atom_site_label
_atom_site_fract_x
_atom_site_fract_y
_atom_site_fract_z
Ho1 0.000 0.000 0.000
Er1 0.000 0.290 0.500
Er2 0.000 0.500 0.000
Sc1 0.000 0.000 0.500
Sc2 0.208 0.500 0.707
Sc3 0.213 0.307 0.213
# Total magnetization = 0.388 μB/f.u.
# E_form = 0.30 eV/atom

***

No. 7
# BaW2Au (GGA-PBE, optimized geometry)
data_BaW2Au
_space_group_name_H-M_alt 'R -3 m'
_space_group_IT_number 166
_space_group_name_Hall '-R 3 2"'
_cell_length_a 2.9620
_cell_length_b 2.9620
_cell_length_c 32.9378
_cell_angle_alpha 90.00
_cell_angle_beta 90.00
_cell_angle_gamma 120.00
loop_
_atom_site_label
_atom_site_fract_x
_atom_site_fract_y
_atom_site_fract_z
Ba1 0.0000 0.0000 0.0000
W1 0.0000 0.0000 0.2371
Au1 0.0000 0.0000 0.5000
# Total magnetization = 0.000 μB/f.u.
# E_form = 1.22 eV/atom
# Excess energy over the best structure of this formula in the dataset = 2.83 eV/f.u.

***

No. 8
# SnBiAu3 (GGA-PBE, optimized geometry)
data_SnBiAu3
_space_group_name_H-M_alt 'P m -3 m'
_space_group_IT_number 221
_space_group_name_Hall '-P 4 2 3'
_cell_length_a 5.188
_cell_length_b 5.188
_cell_length_c 5.188
_cell_angle_alpha 90.00
_cell_angle_beta 90.00
_cell_angle_gamma 90.00
loop_
_atom_site_label
_atom_site_fract_x
_atom_site_fract_y
_atom_site_fract_z
Sn1 0.000 0.000 0.000
Bi1 0.500 0.500 0.500
Au1 0.000 0.000 0.500
# Total magnetization = 0.000 μB/f.u.
# E_form = 0.48 eV/atom
# Excess energy over the best structure of this formula in the dataset = 2.68 eV/f.u.

***

No. 9
# Ge3P (GGA-PBE, optimized geometry)
data_Ge3P
_space_group_name_H-M_alt 'P 63/m m c'
_space_group_IT_number 194
_space_group_name_Hall '-P 6c 2c'
_cell_length_a 5.8227
_cell_length_b 5.8227
_cell_length_c 5.0044
_cell_angle_alpha 90.00
_cell_angle_beta 90.00
_cell_angle_gamma 120.00
loop_
_atom_site_label
_atom_site_fract_x
_atom_site_fract_y
_atom_site_fract_z
Ge1 0.1696 0.3391 0.2500
P1 0.3333 0.6667 0.7500
# Total magnetization = 0.000 μB/f.u.
# E_form = 0.42 eV/atom
# Excess energy over the best structure of this formula in the dataset = 0.96 eV/f.u.

***

No. 10
# ThHgI2 (GGA-PBE, optimized geometry)
data_ThHgI2
_space_group_name_H-M_alt 'R -3 m'
_space_group_IT_number 166
_space_group_name_Hall '-R 3 2"'
_cell_length_a 3.9106
_cell_length_b 3.9106
_cell_length_c 38.5036
_cell_angle_alpha 90.00
_cell_angle_beta 90.00
_cell_angle_gamma 120.00
loop_
_atom_site_label
_atom_site_fract_x
_atom_site_fract_y
_atom_site_fract_z
Th1 0.0000 0.0000 0.0000
Hg1 0.0000 0.0000 0.5000
I1 0.0000 0.0000 0.3931
# Total magnetization = 0.000 μB/f.u.
# Energy relative to the elements, uncorrected = -0.771 eV/atom

***

No. 11
# La3Pr2Y6 (GGA-PBE, optimized geometry)
data_La3Pr2Y6
_space_group_name_H-M_alt 'C 1 2/m 1'
_space_group_IT_number 12
_space_group_name_Hall '-C 2y'
_cell_length_a 6.263
_cell_length_b 10.874
_cell_length_c 11.806
_cell_angle_alpha 90.00
_cell_angle_beta 100.25
_cell_angle_gamma 90.00
loop_
_atom_site_label
_atom_site_fract_x
_atom_site_fract_y
_atom_site_fract_z
La1 0.000 0.000 0.000
La2 0.000 0.336 0.000
Pr1 0.000 0.166 0.500
Y1 0.249 0.334 0.748
Y2 0.249 0.500 0.251
# Total magnetization = 0.000 μB/f.u.
# E_form = 0.18 eV/atom

***

No. 12
# Pu2BiPt (GGA-PBE, optimized geometry)
data_Pu2BiPt
_space_group_name_H-M_alt 'P 4/m m m'
_space_group_IT_number 123
_space_group_name_Hall '-P 4 2'
_cell_length_a 4.618
_cell_length_b 4.618
_cell_length_c 4.498
_cell_angle_alpha 90.00
_cell_angle_beta 90.00
_cell_angle_gamma 90.00
loop_
_atom_site_label
_atom_site_fract_x
_atom_site_fract_y
_atom_site_fract_z
Pu1 0.000 0.500 0.000
Bi1 0.000 0.000 0.500
Pt1 0.500 0.500 0.500
# Total magnetization = 11.424 μB/f.u.
# E_form = -0.45 eV/atom
# Excess energy over the best structure of this formula in the dataset = 0.18 eV/f.u.

***

No. 13
# Na3Tl2Bi3 (GGA-PBE, optimized geometry)
data_Na3Tl2Bi3
_space_group_name_H-M_alt 'P m m m'
_space_group_IT_number 47
_space_group_name_Hall '-P 2 2'
_cell_length_a 4.429
_cell_length_b 5.140
_cell_length_c 10.469
_cell_angle_alpha 90.00
_cell_angle_beta 90.00
_cell_angle_gamma 90.00
loop_
_atom_site_label
_atom_site_fract_x
_atom_site_fract_y
_atom_site_fract_z
Na1 0.000 0.000 0.000
Na2 0.000 0.500 0.249
Tl1 0.500 0.000 0.243
Bi1 0.000 0.000 0.500
Bi2 0.500 0.500 0.000
Bi3 0.500 0.500 0.500
# Total magnetization = 0.000 μB/f.u.
# E_form = -0.19 eV/atom
# Excess energy over the best structure of this formula in the dataset = 0.20 eV/f.u.

***

No. 14
# RhC3 (GGA-PBE, optimized geometry)
data_RhC3
_space_group_name_H-M_alt 'R -3 m'
_space_group_IT_number 166
_space_group_name_Hall '-R 3 2"'
_cell_length_a 2.6295
_cell_length_b 2.6295
_cell_length_c 15.6211
_cell_angle_alpha 90.00
_cell_angle_beta 90.00
_cell_angle_gamma 120.00
loop_
_atom_site_label
_atom_site_fract_x
_atom_site_fract_y
_atom_site_fract_z
Rh1 0.0000 0.0000 0.0000
C1 0.0000 0.0000 0.2273
C2 0.0000 0.0000 0.5000
# Total magnetization = 0.000 μB/f.u.
# E_form = 1.91 eV/atom
# Excess energy over the best structure of this formula in the dataset = 5.35 eV/f.u.

***

No. 15
# NaMg3Au (GGA-PBE, optimized geometry)
data_NaMg3Au
_space_group_name_H-M_alt 'P m -3 m'
_space_group_IT_number 221
_space_group_name_Hall '-P 4 2 3'
_cell_length_a 5.193
_cell_length_b 5.193
_cell_length_c 5.193
_cell_angle_alpha 90.00
_cell_angle_beta 90.00
_cell_angle_gamma 90.00
loop_
_atom_site_label
_atom_site_fract_x
_atom_site_fract_y
_atom_site_fract_z
Na1 0.000 0.000 0.000
Mg1 0.000 0.500 0.500
Au1 0.500 0.500 0.500
# Total magnetization = 0.000 μB/f.u.
# E_form = -0.16 eV/atom
# Excess energy over the best structure of this formula in the dataset = 0.00 eV/f.u.

***

No. 16
# BaZrCl3 (GGA-PBE, optimized geometry)
data_BaZrCl3
_space_group_name_H-M_alt 'P m -3 m'
_space_group_IT_number 221
_space_group_name_Hall '-P 4 2 3'
_cell_length_a 5.937
_cell_length_b 5.937
_cell_length_c 5.937
_cell_angle_alpha 90.00
_cell_angle_beta 90.00
_cell_angle_gamma 90.00
loop_
_atom_site_label
_atom_site_fract_x
_atom_site_fract_y
_atom_site_fract_z
Ba1 0.000 0.000 0.000
Zr1 0.500 0.500 0.500
Cl1 0.000 0.000 0.500
# Total magnetization = 3.000 μB/f.u.
# Energy relative to the elements, uncorrected = -0.704 eV/atom
# Excess energy over the best structure of this formula in the dataset = 3.21 eV/f.u.

***

No. 17
# Sr2As2Au (GGA-PBE, optimized geometry)
data_Sr2As2Au
_space_group_name_H-M_alt 'C 1 2/m 1'
_space_group_IT_number 12
_space_group_name_Hall '-C 2y'
_cell_length_a 11.743
_cell_length_b 4.455
_cell_length_c 11.260
_cell_angle_alpha 90.00
_cell_angle_beta 112.27
_cell_angle_gamma 90.00
loop_
_atom_site_label
_atom_site_fract_x
_atom_site_fract_y
_atom_site_fract_z
Sr1 0.085 0.000 0.403
Sr2 0.196 0.500 0.151
As1 0.056 0.000 0.924
As2 0.165 0.500 0.636
Au1 0.075 0.500 0.814
# Total magnetization = 0.000 μB/f.u.
# E_form = -0.92 eV/atom
# Excess energy over the best structure of this formula in the dataset = 0.00 eV/f.u.

***

No. 18
# Li3ThCu8 (GGA-PBE, optimized geometry)
data_Li3ThCu8
_space_group_name_H-M_alt 'P 3 m 1'
_space_group_IT_number 156
_space_group_name_Hall 'P 3 -2"'
_cell_length_a 5.0170
_cell_length_b 5.0170
_cell_length_c 8.2650
_cell_angle_alpha 90.00
_cell_angle_beta 90.00
_cell_angle_gamma 120.00
loop_
_atom_site_label
_atom_site_fract_x
_atom_site_fract_y
_atom_site_fract_z
Li1 0.0000 0.0000 0.0000
Li2 0.0000 0.0000 0.3380
Li3 0.3333 0.6667 0.9165
Th1 0.3333 0.6667 0.5133
Cu1 0.9995 0.4998 0.1947
Cu2 0.3286 0.1643 0.7095
Cu3 0.6667 0.3333 0.4460
Cu4 0.6667 0.3333 0.9491
# Total magnetization = 0.000 μB/f.u.
# E_form = -0.08 eV/atom
# Excess energy over the best structure of this formula in the dataset = 0.00 eV/f.u.

***

No. 19
# InAgTeS (GGA-PBE, optimized geometry)
data_InAgTeS
_space_group_name_H-M_alt 'R 3 m'
_space_group_IT_number 160
_space_group_name_Hall 'R 3 -2"'
_cell_length_a 4.4148
_cell_length_b 4.4148
_cell_length_c 21.5216
_cell_angle_alpha 90.00
_cell_angle_beta 90.00
_cell_angle_gamma 120.00
loop_
_atom_site_label
_atom_site_fract_x
_atom_site_fract_y
_atom_site_fract_z
In1 0.0000 0.0000 0.0000
Ag1 0.0000 0.0000 0.4941
Te1 0.0000 0.0000 0.8706
S1 0.0000 0.0000 0.3729
# Total magnetization = 0.000 μB/f.u.
# Energy relative to the elements, uncorrected = -0.230 eV/atom

***

No. 20
# Na6SnGe2 (GGA-PBE, optimized geometry)
data_Na6SnGe2
_space_group_name_H-M_alt 'R -3 m'
_space_group_IT_number 166
_space_group_name_Hall '-R 3 2"'
_cell_length_a 5.2995
_cell_length_b 5.2995
_cell_length_c 30.1579
_cell_angle_alpha 90.00
_cell_angle_beta 90.00
_cell_angle_gamma 120.00
loop_
_atom_site_label
_atom_site_fract_x
_atom_site_fract_y
_atom_site_fract_z
Na1 0.0000 0.0000 0.0794
Na2 0.0000 0.0000 0.2044
Na3 0.0000 0.0000 0.3088
Sn1 0.0000 0.0000 0.5000
Ge1 0.0000 0.0000 0.4105
# Total magnetization = 0.000 μB/f.u.
# E_form = -0.09 eV/atom